This record from OQMD via LeMat-Bulk describes HoErZn2Au4 after structural relaxation. The functional is PBE.

extended XYZ file:
```
8
Lattice="4.8084 0.0000 0.0000 0.0000 4.8084 0.0000 0.0000 0.0000 6.7977" Properties=species:S:1:pos:R:3 pbc="T T T"
Ho 0.0000 0.0000 0.0000
Er 2.4042 2.4042 3.3988
Zn 0.0000 0.0000 3.3988
Zn 2.4042 2.4042 0.0000
Au 0.0000 2.4042 1.7025
Au 0.0000 2.4042 5.0952
Au 2.4042 0.0000 1.7025
Au 2.4042 0.0000 5.0952
```

Results
Total moment ... 0.000 μB/atom
Calculated density ... 13.216 Mg/m³
SG ... P4/mmm (123)
ΔH_f (0 K) ... -0.646 eV per atom


This record from OQMD via LeMat-Bulk describes ErIn2Au2 after structural relaxation. The functional is PBE.

extended XYZ file:
```
10
Lattice="4.4191 0.0000 0.0000 0.0000 4.4191 0.0000 0.0000 0.0000 11.7586" Properties=species:S:1:pos:R:3 pbc="T T T"
Er 1.1048 1.1048 2.8639
Er 3.3143 3.3143 8.8946
In 1.1048 1.1048 10.1629
In 1.1048 3.3143 5.8793
In 3.3143 1.1048 5.8793
In 3.3143 3.3143 1.5957
Au 1.1048 1.1048 7.5732
Au 1.1048 3.3143 0.0000
Au 3.3143 1.1048 0.0000
Au 3.3143 3.3143 4.1853
```

Results
Total moment ... 0.002 μB/atom
Calculated density ... 11.438 Mg/m³
SG ... P4/nmm (129)
Electronic total energy ... -3.698 eV/atom


This record from OQMD via LeMat-Bulk describes ErInAu6 after structural relaxation. The functional is PBE.

extended XYZ file:
```
8
Lattice="5.0281 0.0000 0.0000 0.0000 5.9269 0.0000 0.0000 0.0000 5.2006" Properties=species:S:1:pos:R:3 pbc="T T T"
Er 0.0000 0.0000 0.0000
In 2.5141 2.9634 1.6591
Au 0.0000 1.5155 2.6037
Au 0.0000 2.9634 5.1990
Au 0.0000 4.4114 2.6037
Au 2.5141 0.0000 1.6806
Au 2.5141 1.4806 4.2851
Au 2.5141 4.4462 4.2851
```

Results
Total moment ... 0.000 μB/atom
Calculated density ... 15.684 Mg/m³
SG ... Pmm2 (25)
Electronic total energy ... -3.766 eV/atom


This record from OQMD via LeMat-Bulk describes Tb2ErIn3Ir2Au after structural relaxation. The functional is PBE.

extended XYZ file:
```
9
Lattice="3.8822 0.0000 0.0000 0.0000 6.6217 3.8444 0.0000 -6.6217 3.8444" Properties=species:S:1:pos:R:3 pbc="T T T"
Tb 0.0000 -3.9079 3.8444
Tb 0.0000 3.9079 3.8444
Er 0.0000 0.0000 4.7234
In 1.9411 -1.7717 2.6098
In 1.9411 1.7717 2.6098
In 1.9411 0.0000 7.1958
Ir 1.9411 -2.1904 5.4116
Ir 1.9411 2.1904 5.4116
Au 0.0000 0.0000 1.5790
```

Results
Total moment ... 0.002 μB/atom
Calculated density ... 11.854 Mg/m³
SG ... Amm2 (38)
Electronic total energy ... -5.483 eV/atom


This record from OQMD via LeMat-Bulk describes ErTm2In3Ir2Au after structural relaxation. The functional is PBE.

extended XYZ file:
```
9
Lattice="3.8031 0.0000 0.0000 0.0000 6.6482 3.8295 0.0000 -6.6482 3.8295" Properties=species:S:1:pos:R:3 pbc="T T T"
Er 0.0000 0.0000 0.0000
Tm 0.0000 -2.7149 2.9660
Tm 0.0000 2.7149 2.9660
In 1.9015 0.0000 2.4569
In 1.9015 -1.8011 5.5671
In 1.9015 1.8011 5.5671
Ir 1.9015 -4.4253 4.5337
Ir 1.9015 4.4253 4.5337
Au 0.0000 0.0000 4.5282
```

Results
Total moment ... 0.002 μB/atom
Calculated density ... 12.271 Mg/m³
SG ... Amm2 (38)
Electronic total energy ... -5.449 eV/atom


This record from OQMD via LeMat-Bulk describes Er2LuIn3Pt2Au after structural relaxation. The functional is PBE.

extended XYZ file:
```
9
Lattice="3.7388 0.0000 0.0000 0.0000 6.7105 3.8863 0.0000 -6.7105 3.8863" Properties=species:S:1:pos:R:3 pbc="T T T"
Er 0.0000 -3.9874 3.8863
Er 0.0000 3.9874 3.8863
Lu 0.0000 0.0000 4.7341
In 1.8694 -1.8196 2.6338
In 1.8694 1.8196 2.6338
In 1.8694 0.0000 7.2412
Pt 1.8694 -2.2192 5.4592
Pt 1.8694 2.2192 5.4592
Au 0.0000 0.0000 1.5854
```

Results
Total moment ... 0.000 μB/atom
Calculated density ... 12.271 Mg/m³
SG ... Amm2 (38)
Electronic total energy ... -5.045 eV/atom


This record from OQMD via LeMat-Bulk describes Er3Mg3InAu2 after structural relaxation. The functional is PBE.

extended XYZ file:
```
9
Lattice="7.7801 0.0000 0.0000 -3.8900 6.7377 0.0000 0.0000 0.0000 3.9694" Properties=species:S:1:pos:R:3 pbc="T T T"
Er -1.6126 2.7932 0.0000
Er 3.2253 0.0000 0.0000
Er 2.2774 3.9445 0.0000
Mg -2.8638 4.9602 1.9847
Mg 1.0262 1.7775 1.9847
Mg 5.7276 0.0000 1.9847
In 0.0000 0.0000 0.0000
Au 0.0000 4.4918 1.9847
Au 3.8900 2.2459 1.9847
```

Results
Total moment ... 0.002 μB/atom
Calculated density ... 8.646 Mg/m³
SG ... P-62m (189)
Electronic total energy ... -3.609 eV/atom


This record from OQMD via LeMat-Bulk describes ErTm2In3Pd2Au after structural relaxation. The functional is PBE.

extended XYZ file:
```
9
Lattice="3.7589 0.0000 0.0000 0.0000 6.7400 3.8866 0.0000 -6.7400 3.8866" Properties=species:S:1:pos:R:3 pbc="T T T"
Er 0.0000 0.0000 0.0000
Tm 0.0000 -2.7255 4.7147
Tm 0.0000 2.7255 4.7147
In 1.8794 -1.8317 2.0878
In 1.8794 1.8317 2.0878
In 1.8794 0.0000 5.2545
Pd 1.8794 -4.4856 3.1414
Pd 1.8794 4.4856 3.1414
Au 0.0000 0.0000 3.1458
```

Results
Total moment ... 0.003 μB/atom
Calculated density ... 10.619 Mg/m³
SG ... Amm2 (38)
Electronic total energy ... -4.699 eV/atom


This record from OQMD via LeMat-Bulk describes Y2ErIn3Pd2Au after structural relaxation. The functional is PBE.

extended XYZ file:
```
9
Lattice="3.8158 0.0000 0.0000 0.0000 6.7397 3.9097 0.0000 -6.7397 3.9097" Properties=species:S:1:pos:R:3 pbc="T T T"
Y 0.0000 -4.0105 3.9097
Y 0.0000 4.0105 3.9097
Er 0.0000 0.0000 4.7555
In 1.9079 -1.8172 2.6403
In 1.9079 1.8172 2.6403
In 1.9079 0.0000 7.2941
Pd 1.9079 -2.2220 5.4867
Pd 1.9079 2.2220 5.4867
Au 0.0000 0.0000 1.5949
```

Results
Total moment ... 0.002 μB/atom
Calculated density ... 9.078 Mg/m³
SG ... Amm2 (38)
Electronic total energy ... -5.154 eV/atom


This record from OQMD via LeMat-Bulk describes Er2TmIn3PtAu2 after structural relaxation. The functional is PBE.

extended XYZ file:
```
9
Lattice="3.9288 0.0000 0.0000 0.0000 6.6390 3.8409 0.0000 -6.6390 3.8409" Properties=species:S:1:pos:R:3 pbc="T T T"
Er 0.0000 -3.9754 3.8409
Er 0.0000 3.9754 3.8409
Tm 0.0000 0.0000 3.0647
In 1.9644 0.0000 0.4318
In 1.9644 -1.7044 5.1496
In 1.9644 1.7044 5.1496
Pt 0.0000 0.0000 6.1279
Au 1.9644 -2.1963 2.3032
Au 1.9644 2.1963 2.3032
```

Results
Total moment ... 0.000 μB/atom
Calculated density ... 11.909 Mg/m³
SG ... Amm2 (38)
Electronic total energy ... -4.652 eV/atom


This record from OQMD via LeMat-Bulk describes ErTm2In3Pt2Au after structural relaxation. The functional is PBE.

extended XYZ file:
```
9
Lattice="3.7560 0.0000 0.0000 0.0000 6.7166 3.8736 0.0000 -6.7166 3.8736" Properties=species:S:1:pos:R:3 pbc="T T T"
Er 0.0000 0.0000 0.0000
Tm 0.0000 -2.7356 4.7320
Tm 0.0000 2.7356 4.7320
In 1.8780 -1.8168 2.1085
In 1.8780 1.8168 2.1085
In 1.8780 0.0000 5.2458
Pt 1.8780 -4.4719 3.1526
Pt 1.8780 4.4719 3.1526
Au 0.0000 0.0000 3.1563
```

Results
Total moment ... 0.000 μB/atom
Calculated density ... 12.207 Mg/m³
SG ... Amm2 (38)
Electronic total energy ... -5.033 eV/atom


This record from OQMD via LeMat-Bulk describes ErTmIn4Au2 after structural relaxation. The functional is PBE.

extended XYZ file:
```
16
Lattice="7.2695 0.0000 0.0000 0.0000 4.6174 0.0000 0.0000 0.0000 10.8443" Properties=species:S:1:pos:R:3 pbc="T T T"
Er 0.0000 0.0000 0.0000
Er 0.0000 2.3087 5.4221
Tm 3.6348 0.0000 9.0892
Tm 3.6348 2.3087 3.6671
In 1.5051 0.0000 3.1384
In 1.5051 2.3087 8.5605
In 2.1326 0.0000 5.9512
In 2.1326 2.3087 0.5290
In 5.1369 0.0000 5.9512
In 5.1369 2.3087 0.5290
In 5.7644 0.0000 3.1384
In 5.7644 2.3087 8.5605
Au 0.0000 0.0000 7.8046
Au 0.0000 2.3087 2.3825
Au 3.6348 0.0000 1.2786
Au 3.6348 2.3087 6.7007
```

Results
Total moment ... 0.001 μB/atom
Calculated density ... 10.852 Mg/m³
SG ... Amm2 (38)
Electronic total energy ... -3.780 eV/atom


This record from OQMD via LeMat-Bulk describes Er2Ir2Au after structural relaxation. The functional is PBE.

extended XYZ file:
```
10
Lattice="4.7282 0.0000 0.0000 -2.3641 4.0947 0.0000 0.0000 0.0000 11.7311" Properties=species:S:1:pos:R:3 pbc="T T T"
Er 0.0000 2.7298 1.2255
Er 0.0000 2.7298 4.6400
Er 2.3641 1.3649 7.0911
Er 2.3641 1.3649 10.5056
Ir 0.0000 2.7298 7.5411
Ir 0.0000 2.7298 10.0555
Ir 2.3641 1.3649 1.6756
Ir 2.3641 1.3649 4.1900
Au 0.0000 0.0000 0.0000
Au 0.0000 0.0000 5.8656
```

Results
Total moment ... 0.001 μB/atom
Calculated density ... 13.393 Mg/m³
SG ... P6_3/mmc (194)
ΔH_f (0 K) ... -0.341 eV per atom


This record from OQMD via LeMat-Bulk describes Er3Mg3IrAu2 after structural relaxation. The functional is PBE.

extended XYZ file:
```
9
Lattice="7.3873 0.0000 0.0000 -3.6936 6.3976 0.0000 0.0000 0.0000 4.1426" Properties=species:S:1:pos:R:3 pbc="T T T"
Er -1.4657 2.5387 0.0000
Er 2.9314 0.0000 0.0000
Er 2.2279 3.8589 0.0000
Mg -2.8049 4.8582 2.0713
Mg 0.8888 1.5394 2.0713
Mg 5.6097 0.0000 2.0713
Ir 0.0000 0.0000 0.0000
Au 0.0000 4.2651 2.0713
Au 3.6936 2.1325 2.0713
```

Results
Total moment ... 0.000 μB/atom
Calculated density ... 9.846 Mg/m³
SG ... P-62m (189)
Electronic total energy ... -4.426 eV/atom


This record from OQMD via LeMat-Bulk describes ErTm2Zn3Ir2Au after structural relaxation. The functional is PBE.

extended XYZ file:
```
9
Lattice="3.8019 0.0000 0.0000 0.0000 6.2821 3.6228 0.0000 -6.2821 3.6228" Properties=species:S:1:pos:R:3 pbc="T T T"
Er 0.0000 0.0000 0.0000
Tm 0.0000 -2.5757 4.4582
Tm 0.0000 2.5757 4.4582
Zn 1.9010 -1.6688 2.0116
Zn 1.9010 1.6688 2.0116
Zn 1.9010 0.0000 4.8965
Ir 1.9010 -4.1810 2.9705
Ir 1.9010 4.1810 2.9705
Au 0.0000 0.0000 2.9786
```

Results
Total moment ... 0.001 μB/atom
Calculated density ... 12.308 Mg/m³
SG ... Amm2 (38)
ΔH_f (0 K) ... -0.725 eV per atom


This record from OQMD via LeMat-Bulk describes Er3Zn3Ir2Au after structural relaxation. The functional is PBE.

extended XYZ file:
```
9
Lattice="7.2791 0.0000 0.0000 -3.6395 6.3039 0.0000 0.0000 0.0000 3.7945" Properties=species:S:1:pos:R:3 pbc="T T T"
Er -2.1531 3.7294 0.0000
Er 1.4864 2.5745 0.0000
Er 4.3063 0.0000 0.0000
Zn -0.9747 1.6882 1.8973
Zn 1.9494 0.0000 1.8973
Zn 2.6648 4.6156 1.8973
Ir 0.0000 4.2026 1.8973
Ir 3.6395 2.1013 1.8973
Au 0.0000 0.0000 0.0000
```

Results
Total moment ... 0.002 μB/atom
Calculated density ... 12.202 Mg/m³
SG ... P-62m (189)
ΔH_f (0 K) ... -0.722 eV per atom


This record from OQMD via LeMat-Bulk describes KErAu after structural relaxation. The functional is PBE.

extended XYZ file:
```
12
Lattice="7.1952 0.0000 0.0000 0.0000 7.1952 0.0000 0.0000 0.0000 7.1952" Properties=species:S:1:pos:R:3 pbc="T T T"
K 0.0000 0.0000 0.0000
K 0.0000 3.5976 3.5976
K 3.5976 0.0000 3.5976
K 3.5976 3.5976 0.0000
Er 1.7988 1.7988 5.3964
Er 1.7988 5.3964 1.7988
Er 5.3964 1.7988 1.7988
Er 5.3964 5.3964 5.3964
Au 0.0000 0.0000 3.5976
Au 0.0000 3.5976 0.0000
Au 3.5976 0.0000 0.0000
Au 3.5976 3.5976 3.5976
```

Results
Total moment ... 0.001 μB/atom
Calculated density ... 7.192 Mg/m³
SG ... F-43m (216)
Offset from the most stable computed form ... 0 meV per atom


This record from OQMD via LeMat-Bulk describes KErAuSe3 after structural relaxation. The functional is PBE.

extended XYZ file:
```
12
Lattice="2.0301 -7.7665 0.0000 2.0301 7.7665 0.0000 0.0000 0.0000 10.6230" Properties=species:S:1:pos:R:3 pbc="T T T"
K 2.0301 3.9993 7.9673
K 2.0301 -3.9993 2.6558
Er 0.0000 0.0000 0.0000
Er 0.0000 0.0000 5.3115
Au 2.0301 0.5112 2.6558
Au 2.0301 -0.5112 7.9673
Se 2.0301 6.5730 2.6558
Se 2.0301 1.9682 0.5242
Se 2.0301 1.9682 4.7873
Se 2.0301 -1.9682 5.8358
Se 2.0301 -1.9682 10.0988
Se 2.0301 -6.5730 7.9673
```

Results
Total moment ... 0.027 μB/atom
Calculated density ... 6.347 Mg/m³
SG ... Cmcm (63)
Electronic total energy ... -4.337 eV/atom


This record from OQMD via LeMat-Bulk describes LaErAu6 after structural relaxation. The functional is PBE.

extended XYZ file:
```
8
Lattice="5.0522 0.0000 0.0000 0.0000 6.3386 0.0000 0.0000 0.0000 5.1814" Properties=species:S:1:pos:R:3 pbc="T T T"
La 0.0000 0.0000 0.0000
Er 2.5261 3.1693 3.5443
Au 0.0000 1.7168 2.6099
Au 0.0000 3.1693 0.0165
Au 0.0000 4.6218 2.6099
Au 2.5261 0.0000 3.3709
Au 2.5261 1.6419 0.9261
Au 2.5261 4.6967 0.9261
```

Results
Total moment ... 0.000 μB/atom
Calculated density ... 14.891 Mg/m³
SG ... Pmm2 (25)
ΔH_f (0 K) ... -0.698 eV per atom


This record from OQMD via LeMat-Bulk describes LaErAu2 after structural relaxation. The functional is PBE.

extended XYZ file:
```
8
Lattice="4.7394 0.0000 0.0000 0.0000 3.8167 0.0000 0.0000 0.0000 11.1745" Properties=species:S:1:pos:R:3 pbc="T T T"
La 0.0000 0.0000 0.0000
La 0.0000 1.9083 5.5872
Er 2.3697 0.0000 8.0850
Er 2.3697 1.9083 2.4978
Au 0.0000 0.0000 3.0310
Au 0.0000 1.9083 8.6182
Au 2.3697 0.0000 5.0081
Au 2.3697 1.9083 10.5954
```

Results
Total moment ... 0.001 μB/atom
Calculated density ... 11.503 Mg/m³
SG ... Amm2 (38)
ΔH_f (0 K) ... -0.837 eV per atom


This record from OQMD via LeMat-Bulk describes LaEr2Mg3Pt2Au after structural relaxation. The functional is PBE.

extended XYZ file:
```
9
Lattice="4.0630 0.0000 0.0000 0.0000 6.5140 3.7576 0.0000 -6.5140 3.7576" Properties=species:S:1:pos:R:3 pbc="T T T"
La 0.0000 0.0000 0.0000
Er 0.0000 -2.6969 4.7318
Er 0.0000 2.6969 4.7318
Mg 2.0315 -1.6570 2.2551
Mg 2.0315 1.6570 2.2551
Mg 2.0315 0.0000 5.0019
Pt 2.0315 -4.2866 3.1509
Pt 2.0315 4.2866 3.1509
Au 0.0000 0.0000 3.2231
```

Results
Total moment ... 0.003 μB/atom
Calculated density ... 9.463 Mg/m³
SG ... Amm2 (38)
Electronic total energy ... -4.644 eV/atom


This record from OQMD via LeMat-Bulk describes La2ErZn2Si4Au2 after structural relaxation. The functional is PBE.

extended XYZ file:
```
11
Lattice="-2.0938 2.1498 12.5197 2.0938 -2.1498 12.5197 2.0938 2.1498 -12.5197" Properties=species:S:1:pos:R:3 pbc="T T T"
La 0.0000 0.0000 3.6893
La 0.0000 0.0000 21.3502
Er 0.0000 2.1498 0.0000
Zn 2.0938 0.0000 6.2557
Zn 0.0000 2.1498 6.2640
Si 2.0938 0.0000 1.1617
Si 0.0000 0.0000 7.6881
Si 0.0000 0.0000 17.3513
Si 0.0000 2.1498 11.3580
Au 0.0000 0.0000 10.1923
Au 0.0000 0.0000 14.8471
```

Results
Total moment ... 0.000 μB/atom
Calculated density ... 7.972 Mg/m³
SG ... Immm (71)
Electronic total energy ... -4.790 eV/atom


This record from OQMD via LeMat-Bulk describes LaErSn2Au2 after structural relaxation. The functional is PBE.

extended XYZ file:
```
6
Lattice="4.7438 0.0000 0.0000 -2.3719 4.1082 0.0000 0.0000 0.0000 7.6652" Properties=species:S:1:pos:R:3 pbc="T T T"
La 0.0000 0.0000 0.0000
Er 0.0000 0.0000 3.8609
Sn 0.0000 2.7388 2.1954
Sn 2.3719 1.3694 5.8923
Au 0.0000 2.7388 5.1157
Au 2.3719 1.3694 1.6788
```

Results
Total moment ... 0.001 μB/atom
Calculated density ... 10.421 Mg/m³
SG ... P3m1 (156)
Electronic total energy ... -4.843 eV/atom


This record from OQMD via LeMat-Bulk describes LiErAu after structural relaxation. The functional is PBE.

extended XYZ file:
```
12
Lattice="6.3068 0.0000 0.0000 0.0000 6.3068 0.0000 0.0000 0.0000 6.3068" Properties=species:S:1:pos:R:3 pbc="T T T"
Li 0.0000 0.0000 0.0000
Li 0.0000 3.1534 3.1534
Li 3.1534 0.0000 3.1534
Li 3.1534 3.1534 0.0000
Er 1.5767 1.5767 1.5767
Er 1.5767 4.7301 4.7301
Er 4.7301 1.5767 4.7301
Er 4.7301 4.7301 1.5767
Au 1.5767 1.5767 4.7301
Au 1.5767 4.7301 1.5767
Au 4.7301 1.5767 1.5767
Au 4.7301 4.7301 4.7301
```

Results
Total moment ... 0.005 μB/atom
Calculated density ... 9.828 Mg/m³
SG ... F-43m (216)
Offset from the most stable computed form ... 420 meV per atom